TlHg3S3 | PBE | relaxed

Lattice parameters (Å, degrees): 7.781 7.781 8.988 64.35 64.35 60.00
Atoms (fractional coordinates):
Tl1 0.332 0.332 0.005
Tl2 0.668 0.668 0.995
Hg1 0.120 0.402 0.678
Hg2 0.800 0.120 0.678
Hg3 0.200 0.880 0.322
Hg4 0.402 0.800 0.678
Hg5 0.598 0.200 0.322
Hg6 0.880 0.598 0.322
S1 0.251 0.549 0.282
S2 0.451 0.082 0.718
S3 0.549 0.918 0.282
S4 0.918 0.251 0.282
S5 0.082 0.749 0.718
S6 0.749 0.451 0.718

Calculated values
DOS(E_F) = 0.213 states/eV per atom
energy relative to the elements, uncorrected = -4 kJ/mol of atoms
spin magnetization = 0.0 Bohr magnetons per cell
space group = R-3
density = 7.34 g/cm³

Tl5Hg2S5 | PBE | relaxed

Lattice parameters (Å, degrees): 4.300 7.521 11.541 106.02 90.00 106.61
Atoms (fractional coordinates):
S1 0.631 0.261 0.778
S2 0.369 0.739 0.222
S3 0.878 0.756 0.588
S4 0.000 0.000 0.000
S5 0.122 0.244 0.412
Tl1 0.500 0.000 0.500
Tl2 0.262 0.525 0.655
Tl3 0.738 0.475 0.345
Tl4 0.350 0.701 0.960
Tl5 0.650 0.299 0.040
Hg1 0.971 0.941 0.226
Hg2 0.029 0.059 0.774

Calculated values
DOS(E_F) = 0.322 states/eV per atom
energy relative to the elements, uncorrected = -21 kJ/mol of atoms
spin magnetization = 0.0 Bohr magnetons per cell
space group = C2/m
density = 7.68 g/cm³